# Pm6P2AuS3 PBE relaxed
data_Pm6P2AuS3
_space_group_name_H-M_alt 'C 1 2/m 1'
_space_group_IT_number 12
_space_group_name_Hall '-C 2y'
_cell_length_a 17.9230
_cell_length_b 4.0908
_cell_length_c 8.2751
_cell_angle_alpha 90.00
_cell_angle_beta 103.23
_cell_angle_gamma 90.00
loop_
_atom_site_label
_atom_site_fract_x
_atom_site_fract_y
_atom_site_fract_z
Pm1 0.0013 0.0000 0.2635
Pm2 0.1689 0.5000 0.5795
Pm3 0.1721 0.5000 0.0925
P1 0.1665 0.0000 0.3340
Au1 0.0000 0.5000 0.0000
S1 0.0000 0.5000 0.5000
S2 0.1666 0.0000 0.8335
# Volume in Å³/atom: 24.6
# Magnetic moment in μB/cell: 0.0
# Formation energy from raw total energies in eV/f.u.: -20.152